*one*
This record from Alexandria via LeMat-Bulk describes an optimized crystal structure of Cs2Cd2In. The functional is PBE.

a = 5.3350 Å, b = 6.5194 Å, c = 12.5917 Å
α = 90.00°, β = 90.00°, γ = 90.00°
Last column: nearest neighbours and their distance in Å.
Positions (direct):
Cs  0.0000  0.0000  0.1901  6 Cd 3.97-4.20, 2 In 4.04
Cs  0.0000  0.0000  0.8099  6 Cd 3.97-4.20, 2 In 4.04
Cs  0.5000  0.5000  0.3099  6 Cd 3.97-4.20, 2 In 4.04
Cs  0.5000  0.5000  0.6901  6 Cd 3.97-4.20, 2 In 4.04
Cd  0.0000  0.2394  0.5000  2 In 3.09, 2 Cd 3.12-3.40
Cd  0.0000  0.7606  0.5000  2 In 3.09, 2 Cd 3.12-3.40
Cd  0.5000  0.2606  0.0000  2 In 3.09, 2 Cd 3.12-3.40
Cd  0.5000  0.7394  0.0000  2 In 3.09, 2 Cd 3.12-3.40
In  0.0000  0.5000  0.0000  4 Cd 3.09
In  0.5000  0.0000  0.5000  4 Cd 3.09

Computed properties:
magnetic moment	0.00	μB/f.u.
calculated volume	219	Å³/f.u.

*two*
This record from Alexandria via LeMat-Bulk describes an optimized crystal structure of Cs2Cd2In. The functional is PBE.

a = 5.1251 Å, b = 5.1251 Å, c = 34.6275 Å
α = 90.00°, β = 90.00°, γ = 120.00°
Last column: nearest neighbours and their distance in Å.
Positions (direct):
Cs  0.0000  0.0000  0.0722  4 Cd 3.91-3.98
Cs  0.0000  0.0000  0.9278  4 Cd 3.91-3.98
Cs  0.3333  0.6667  0.5945  4 Cd 3.91-3.98
Cs  0.3333  0.6667  0.7388  4 Cd 3.91-3.98
Cs  0.6667  0.3333  0.2612  4 Cd 3.91-3.98
Cs  0.6667  0.3333  0.4055  4 Cd 3.91-3.98
Cd  0.0000  0.0000  0.1871  3 In 3.04, 3 Cd 3.28
Cd  0.0000  0.0000  0.8129  3 In 3.04, 3 Cd 3.28
Cd  0.3333  0.6667  0.4795  3 In 3.04, 3 Cd 3.28
Cd  0.3333  0.6667  0.8538  3 In 3.04, 3 Cd 3.28
Cd  0.6667  0.3333  0.1462  3 In 3.04, 3 Cd 3.28
Cd  0.6667  0.3333  0.5205  3 In 3.04, 3 Cd 3.28
In  0.0000  0.0000  0.5000  6 Cd 3.04
In  0.3333  0.6667  0.1667  6 Cd 3.04
In  0.6667  0.3333  0.8333  6 Cd 3.04

Computed properties:
magnetic moment	0.00	μB/f.u.
calculated volume	263	Å³/f.u.

*three*
This record from Alexandria via LeMat-Bulk describes an optimized crystal structure of Cs2Cd2In. The functional is PBE.

a = 8.0757 Å, b = 8.0757 Å, c = 6.4107 Å
α = 90.00°, β = 90.00°, γ = 90.00°
Last column: nearest neighbours and their distance in Å.
Positions (direct):
Cs  0.1787  0.3213  0.0000  6 Cd 3.84-4.11, 5 Cs 4.08-4.20
Cs  0.3213  0.8213  0.0000  6 Cd 3.84-4.11, 5 Cs 4.08-4.20
Cs  0.6787  0.1787  0.0000  6 Cd 3.84-4.11, 5 Cs 4.08-4.20
Cs  0.8213  0.6787  0.0000  6 Cd 3.84-4.11, 5 Cs 4.08-4.20
Cd  0.1368  0.6368  0.5000  1 Cd 3.12, 2 In 3.13
Cd  0.3632  0.1368  0.5000  1 Cd 3.12, 2 In 3.13
Cd  0.6368  0.8632  0.5000  1 Cd 3.12, 2 In 3.13
Cd  0.8632  0.3632  0.5000  1 Cd 3.12, 2 In 3.13
In  0.0000  0.0000  0.5000  4 Cd 3.13
In  0.5000  0.5000  0.5000  4 Cd 3.13

Computed properties:
magnetic moment	0.00	μB/f.u.
calculated volume	209	Å³/f.u.

*four*
This record from Alexandria via LeMat-Bulk describes an optimized crystal structure of Cs2Cd2In. The functional is PBE.

a = 11.1314 Å, b = 11.1314 Å, c = 3.7607 Å
α = 90.00°, β = 90.00°, γ = 90.00°
Last column: nearest neighbours and their distance in Å.
Positions (direct):
Cs  0.1926  0.3074  0.0000  2 Cs 3.76, 6 Cd 3.82-3.88, 2 In 4.04
Cs  0.3074  0.8074  0.0000  2 Cs 3.76, 6 Cd 3.82-3.88, 2 In 4.04
Cs  0.6926  0.1926  0.0000  2 Cs 3.76, 6 Cd 3.82-3.88, 2 In 4.04
Cs  0.8074  0.6926  0.0000  2 Cs 3.76, 6 Cd 3.82-3.88, 2 In 4.04
Cd  0.0964  0.5964  0.5000  1 Cd 3.04
Cd  0.4036  0.0964  0.5000  1 Cd 3.04
Cd  0.5964  0.9036  0.5000  1 Cd 3.04
Cd  0.9036  0.4036  0.5000  1 Cd 3.04
In  0.0000  0.0000  0.0000  2 In 3.76, 4 Cs 4.04
In  0.5000  0.5000  0.0000  2 In 3.76, 4 Cs 4.04

Computed properties:
magnetic moment	0.00	μB/f.u.
calculated volume	233	Å³/f.u.

Most stable structure, least stable structure: *one*, *four*.

*one*
This record from Alexandria via LeMat-Bulk describes an optimized crystal structure of CsCdIn3. The functional is PBE.

a = 7.3801 Å, b = 7.3768 Å, c = 5.1012 Å
α = 69.81°, β = 69.74°, γ = 40.45°
Last column: nearest neighbours and their distance in Å.
Positions (direct):
Cs  0.0000  0.0000  0.0000  4 Cd 3.90-3.91, 12 In 3.91-4.12
Cd  0.6163  0.6163  0.3837  5 In 3.02-3.07
In  0.2486  0.2486  0.2514  2 Cd 3.07, 2 In 3.07
In  0.3814  0.3814  0.6186  1 Cd 3.02, 4 In 3.07
In  0.7486  0.7486  0.7514  2 Cd 3.07, 2 In 3.07

Computed properties:
magnetic moment	0.00	μB/f.u.
calculated volume	167	Å³/f.u.

*two*
This record from Alexandria via LeMat-Bulk describes an optimized crystal structure of CsCdIn3. The functional is PBE.

a = 5.7925 Å, b = 5.7925 Å, c = 5.7925 Å
α = 90.00°, β = 90.00°, γ = 90.00°
Last column: nearest neighbours and their distance in Å.
Positions (direct):
Cs  0.0000  0.0000  0.0000  12 In 4.10
Cd  0.5000  0.5000  0.5000  6 In 2.90
In  0.0000  0.5000  0.5000  2 Cd 2.90
In  0.5000  0.0000  0.5000  2 Cd 2.90
In  0.5000  0.5000  0.0000  2 Cd 2.90

Computed properties:
magnetic moment	0.00	μB/f.u.
calculated volume	194	Å³/f.u.

Most stable structure, least stable structure: *one*, *two*.

*one*
This record from Alexandria via LeMat-Bulk describes an optimized crystal structure of CsCdIn3. The functional is PBE.

a = 7.6827 Å, b = 7.6827 Å, c = 6.6445 Å
α = 90.00°, β = 90.00°, γ = 120.00°
Last column: nearest neighbours and their distance in Å.
Positions (direct):
Cs  0.3333  0.6667  0.2500  12 In 3.82-3.86
Cs  0.6667  0.3333  0.7500  12 In 3.82-3.86
Cd  0.0000  0.0000  0.0000  6 In 3.04, 2 Cd 3.32
Cd  0.0000  0.0000  0.5000  6 In 3.04, 2 Cd 3.32
In  0.1911  0.3821  0.7500  2 Cd 3.04, 2 In 3.28
In  0.1911  0.8089  0.7500  2 Cd 3.04, 2 In 3.28
In  0.3821  0.1911  0.2500  2 Cd 3.04, 2 In 3.28
In  0.6179  0.8089  0.7500  2 Cd 3.04, 2 In 3.28
In  0.8089  0.1911  0.2500  2 Cd 3.04, 2 In 3.28
In  0.8089  0.6179  0.2500  2 Cd 3.04, 2 In 3.28

Computed properties:
magnetic moment	0.00	μB/f.u.
calculated volume	170	Å³/f.u.

*two*
This record from Alexandria via LeMat-Bulk describes an optimized crystal structure of CsCdIn3. The functional is PBE.

a = 6.7211 Å, b = 6.7211 Å, c = 6.7211 Å
α = 90.00°, β = 90.00°, γ = 90.00°
Last column: nearest neighbours and their distance in Å.
Positions (direct):
Cs  0.0000  0.0000  0.0000  6 In 3.36
Cd  0.5000  0.5000  0.5000  12 In 4.75
In  0.0000  0.0000  0.5000  2 Cs 3.36
In  0.0000  0.5000  0.0000  2 Cs 3.36
In  0.5000  0.0000  0.0000  2 Cs 3.36

Computed properties:
magnetic moment	0.00	μB/f.u.
calculated volume	304	Å³/f.u.

Most stable structure, least stable structure: *one*, *two*.

*one*
This record from Alexandria via LeMat-Bulk describes an optimized crystal structure of Cs2Cd2In3. The functional is PBE.

a = 13.2295 Å, b = 4.5572 Å, c = 8.6977 Å
α = 90.00°, β = 103.15°, γ = 90.00°
Last column: nearest neighbours and their distance in Å.
Positions (direct):
Cs  0.1431  0.0000  0.3450  5 Cd 3.64-3.96, 3 In 3.90-4.00
Cs  0.3569  0.5000  0.6550  5 Cd 3.64-3.96, 3 In 3.90-4.00
Cs  0.6431  0.5000  0.3450  5 Cd 3.64-3.96, 3 In 3.90-4.00
Cs  0.8569  0.0000  0.6550  5 Cd 3.64-3.96, 3 In 3.90-4.00
Cd  0.0749  0.5000  0.6798  3 In 3.10-3.16, 1 Cd 3.30
Cd  0.4251  0.0000  0.3202  3 In 3.10-3.16, 1 Cd 3.30
Cd  0.5749  0.0000  0.6798  3 In 3.10-3.16, 1 Cd 3.30
Cd  0.9251  0.5000  0.3202  3 In 3.10-3.16, 1 Cd 3.30
In  0.0000  0.5000  0.0000  2 Cd 3.16, 4 In 3.54
In  0.1799  0.0000  0.9010  2 Cd 3.10, 2 In 3.19
In  0.3201  0.5000  0.0990  2 Cd 3.10, 2 In 3.19
In  0.5000  0.0000  0.0000  2 Cd 3.16, 4 In 3.54
In  0.6799  0.5000  0.9010  2 Cd 3.10, 2 In 3.19
In  0.8201  0.0000  0.0990  2 Cd 3.10, 2 In 3.19

Computed properties:
magnetic moment	0.00	μB/f.u.
calculated volume	255	Å³/f.u.

*two*
This record from Alexandria via LeMat-Bulk describes an optimized crystal structure of Cs2Cd2In3. The functional is PBE.

a = 14.4523 Å, b = 4.9645 Å, c = 9.2594 Å
α = 90.00°, β = 127.83°, γ = 90.00°
Last column: nearest neighbours and their distance in Å.
Positions (direct):
Cs  0.1425  0.0000  0.2671  4 Cd 3.94-4.31, 5 In 3.94-4.20, 3 Cs 4.05-4.24
Cs  0.3575  0.5000  0.7329  4 Cd 3.94-4.31, 5 In 3.94-4.20, 3 Cs 4.05-4.24
Cs  0.6425  0.5000  0.2671  4 Cd 3.94-4.31, 5 In 3.94-4.20, 3 Cs 4.05-4.24
Cs  0.8575  0.0000  0.7329  4 Cd 3.94-4.31, 5 In 3.94-4.20, 3 Cs 4.05-4.24
Cd  0.1214  0.0000  0.7118  5 In 2.98-3.12, 1 Cd 3.29
Cd  0.3786  0.5000  0.2882  5 In 2.98-3.12, 1 Cd 3.29
Cd  0.6214  0.5000  0.7118  5 In 2.98-3.12, 1 Cd 3.29
Cd  0.8786  0.0000  0.2882  5 In 2.98-3.12, 1 Cd 3.29
In  0.0000  0.5000  0.5000  4 Cd 2.98, 2 In 3.18
In  0.1366  0.5000  0.9304  3 Cd 3.00-3.12, 1 In 3.18
In  0.3634  0.0000  0.0696  3 Cd 3.00-3.12, 1 In 3.18
In  0.5000  0.0000  0.5000  4 Cd 2.98, 2 In 3.18
In  0.6366  0.0000  0.9304  3 Cd 3.00-3.12, 1 In 3.18
In  0.8634  0.5000  0.0696  3 Cd 3.00-3.12, 1 In 3.18

Computed properties:
magnetic moment	0.00	μB/f.u.
calculated volume	262	Å³/f.u.

Most stable structure, least stable structure: *two*, *one*.

*one*
This record from Alexandria via LeMat-Bulk describes an optimized crystal structure of Cs2CdIn2. The functional is PBE.

a = 7.2067 Å, b = 7.2067 Å, c = 9.1820 Å
α = 99.13°, β = 99.13°, γ = 92.47°
Last column: nearest neighbours and their distance in Å.
Positions (direct):
Cs  0.0075  0.6268  0.8094  2 Cd 3.75-3.80, 3 In 3.85-4.05, 1 Cs 3.96
Cs  0.3732  0.9925  0.1906  2 Cd 3.75-3.80, 3 In 3.85-4.05, 1 Cs 3.96
Cs  0.6268  0.0075  0.8094  2 Cd 3.75-3.80, 3 In 3.85-4.05, 1 Cs 3.96
Cs  0.9925  0.3732  0.1906  2 Cd 3.75-3.80, 3 In 3.85-4.05, 1 Cs 3.96
Cd  0.2416  0.7584  0.5000  4 In 3.04-3.08
Cd  0.7584  0.2416  0.5000  4 In 3.04-3.08
In  0.1179  0.1179  0.6677  1 In 2.99, 2 Cd 3.04
In  0.3950  0.3950  0.5934  2 In 2.99, 2 Cd 3.08
In  0.6050  0.6050  0.4066  2 In 2.99, 2 Cd 3.08
In  0.8821  0.8821  0.3323  1 In 2.99, 2 Cd 3.04

Computed properties:
magnetic moment	0.00	μB/f.u.
calculated volume	232	Å³/f.u.

*two*
This record from Alexandria via LeMat-Bulk describes an optimized crystal structure of Cs2CdIn2. The functional is PBE.

a = 7.7533 Å, b = 7.7533 Å, c = 8.7443 Å
α = 90.00°, β = 90.00°, γ = 90.00°
Last column: nearest neighbours and their distance in Å.
Positions (direct):
Cs  0.0000  0.5000  0.2500  4 In 3.96, 2 Cs 4.37
Cs  0.0000  0.5000  0.7500  4 In 3.96, 2 Cs 4.37
Cs  0.5000  0.0000  0.2500  4 In 3.96, 2 Cs 4.37
Cs  0.5000  0.0000  0.7500  4 In 3.96, 2 Cs 4.37
Cd  0.0000  0.0000  0.0000  2 In 2.98
Cd  0.5000  0.5000  0.5000  2 In 2.98
In  0.0000  0.0000  0.3413  1 In 2.78, 1 Cd 2.98
In  0.0000  0.0000  0.6587  1 In 2.78, 1 Cd 2.98
In  0.5000  0.5000  0.1587  1 In 2.78, 1 Cd 2.98
In  0.5000  0.5000  0.8413  1 In 2.78, 1 Cd 2.98

Computed properties:
magnetic moment	0.00	μB/f.u.
calculated volume	263	Å³/f.u.

Most stable structure, least stable structure: *one*, *two*.

*one*
This record from Alexandria via LeMat-Bulk describes an optimized crystal structure of CsCd2In8. The functional is PBE.

a = 6.1601 Å, b = 6.1601 Å, c = 11.3723 Å
α = 90.00°, β = 90.00°, γ = 90.00°
Last column: nearest neighbours and their distance in Å.
Positions (direct):
Cs  0.0000  0.0000  0.0000  8 In 4.11
Cd  0.0000  0.5000  0.5000  8 In 3.10
Cd  0.5000  0.0000  0.5000  8 In 3.10
In  0.2511  0.2511  0.3058  4 In 3.07-3.09, 2 Cd 3.10
In  0.2511  0.2511  0.6942  4 In 3.07-3.09, 2 Cd 3.10
In  0.2511  0.7489  0.3058  4 In 3.07-3.09, 2 Cd 3.10
In  0.2511  0.7489  0.6942  4 In 3.07-3.09, 2 Cd 3.10
In  0.7489  0.2511  0.3058  4 In 3.07-3.09, 2 Cd 3.10
In  0.7489  0.2511  0.6942  4 In 3.07-3.09, 2 Cd 3.10
In  0.7489  0.7489  0.3058  4 In 3.07-3.09, 2 Cd 3.10
In  0.7489  0.7489  0.6942  4 In 3.07-3.09, 2 Cd 3.10

Computed properties:
magnetic moment	0.00	μB/f.u.
calculated volume	432	Å³/f.u.

*two*
This record from Alexandria via LeMat-Bulk describes an optimized crystal structure of CsCd2In8. The functional is PBE.

a = 5.4228 Å, b = 5.4228 Å, c = 12.7398 Å
α = 90.00°, β = 90.00°, γ = 90.00°
Last column: nearest neighbours and their distance in Å.
Positions (direct):
Cs  0.0000  0.0000  0.0000  8 In 4.04
Cd  0.0000  0.0000  0.3688  8 In 3.19-3.20, 1 Cd 3.34
Cd  0.0000  0.0000  0.6312  8 In 3.19-3.20, 1 Cd 3.34
In  0.0000  0.5000  0.2348  2 Cd 3.20, 3 In 3.21-3.38
In  0.0000  0.5000  0.5000  6 In 3.18-3.38, 4 Cd 3.19
In  0.0000  0.5000  0.7652  2 Cd 3.20, 3 In 3.21-3.38
In  0.5000  0.0000  0.2348  2 Cd 3.20, 3 In 3.21-3.38
In  0.5000  0.0000  0.5000  6 In 3.18-3.38, 4 Cd 3.19
In  0.5000  0.0000  0.7652  2 Cd 3.20, 3 In 3.21-3.38
In  0.5000  0.5000  0.3693  9 In 3.18-3.33
In  0.5000  0.5000  0.6307  9 In 3.18-3.33

Computed properties:
magnetic moment	0.00	μB/f.u.
calculated volume	375	Å³/f.u.

Most stable structure, least stable structure: *two*, *one*.